Record 1
A plane-wave DFT calculation with SCAN was carried out for a crystal of Tl2MoRu relaxed with PBEsol.

Output
Total energy (eV for the cell shown): -211.79
SG: Imm2, No. 44
E_form (eV per formula unit): 2.64
V (Å³/cell): 77

a b c (Å): 6.2198 6.2198 6.2198
angles (deg): 152.87 135.36 53.02
Closest atoms and distances in Å follow each position.
Atoms (fractional coordinates):
Tl: 0.0000 0.0000 0.0000  4 Ru 2.81, 2 Tl 2.92
Tl: 0.7090 0.2090 0.5000  4 Mo 2.88, 2 Tl 2.92, 2 Ru 3.10
Mo: 0.2776 0.7776 0.5000  2 Ru 2.53
Ru: 0.4629 0.4629 0.0000  2 Mo 2.53, 4 Tl 2.81

Record 2
A plane-wave DFT calculation with SCAN was carried out for a crystal of Ag2OsBr relaxed with PBEsol.

Output
Total energy (eV for the cell shown): -150.25
SG: Cmmm, No. 65
E_form (uncorrected) (eV/atom): 0.955
V (Å³/cell): 68

a b c (Å): 5.3197 5.3197 2.6991
angles (deg): 90.00 90.00 117.48
Closest atoms and distances in Å follow each position.
Atoms (fractional coordinates):
Ag: 0.0000 0.5000 0.0000  4 Ag 2.70-2.76, 4 Br 2.98, 4 Os 2.98
Ag: 0.5000 0.0000 0.0000  4 Ag 2.70-2.76, 4 Br 2.98, 4 Os 2.98
Os: 0.0000 0.0000 0.5000  2 Os 2.70, 2 Br 2.76, 8 Ag 2.98
Br: 0.5000 0.5000 0.5000  2 Br 2.70, 2 Os 2.76, 8 Ag 2.98

Record 3
A plane-wave DFT calculation with SCAN was carried out for a crystal of MgZnIn relaxed with PBEsol.

Output
Total energy (eV for the cell shown): -52.35
SG: F-43m, No. 216
E_form (eV per formula unit): -0.47
V (Å³/cell): 64

a b c (Å): 4.4876 4.4876 4.4876
angles (deg): 60.00 60.00 60.00
Closest atoms and distances in Å follow each position.
Atoms (fractional coordinates):
Mg: 0.0000 0.0000 0.0000  4 Zn 2.75
Zn: 0.2500 0.2500 0.2500  4 In 2.75, 4 Mg 2.75
In: 0.5000 0.5000 0.5000  4 Zn 2.75

Record 4
A plane-wave DFT calculation with SCAN was carried out for a crystal of Rb2SiTeRu relaxed with PBEsol.

Output
Total energy (eV for the cell shown): -119.80
SG: P4/mmm, No. 123
E_form (uncorrected) (eV/atom): 0.754
V (Å³/cell): 229

a b c (Å): 6.8559 6.8559 4.8649
angles (deg): 90.00 90.00 90.00
Closest atoms and distances in Å follow each position.
Atoms (fractional coordinates):
Rb: 0.0000 0.5000 0.0000  2 Te 3.43
Rb: 0.5000 0.0000 0.0000  2 Te 3.43
Si: 0.0000 0.0000 0.5000  8 Rb 4.20
Te: 0.5000 0.5000 0.0000  2 Ru 2.43
Ru: 0.5000 0.5000 0.5000  2 Te 2.43

Record 5
A plane-wave DFT calculation with SCAN was carried out for a crystal of MnCuN2 relaxed with PBEsol.

Output
Total energy (eV for the cell shown): -49.13
SG: R-3m, No. 166
E_form (uncorrected) (eV/atom): 0.726
V (Å³/cell): 40

a b c (Å): 5.9101 5.9101 5.9101
angles (deg): 28.10 28.10 28.10
Closest atoms and distances in Å follow each position.
Atoms (fractional coordinates):
Mn: 0.0000 0.0000 0.0000  2 N 1.74
Cu: 0.5000 0.5000 0.5000  6 N 1.98
N: 0.1024 0.1024 0.1024  1 Mn 1.74
N: 0.8976 0.8976 0.8976  1 Mn 1.74

Record 6
A plane-wave DFT calculation with SCAN was carried out for a crystal of Si2AgSb relaxed with PBEsol.

Output
Total energy (eV for the cell shown): -87.00
SG: Pmm2, No. 25
E_form (uncorrected) (eV/atom): 0.416
V (Å³/cell): 75

a b c (Å): 2.9272 3.4212 7.4823
angles (deg): 90.00 90.00 90.00
Closest atoms and distances in Å follow each position.
Atoms (fractional coordinates):
Si: 0.0000 0.0000 0.0000  4 Si 2.57, 4 Ag 2.79
Si: 0.5000 0.5000 0.1650  4 Si 2.57, 2 Sb 2.86
Ag: 0.5000 0.5000 0.7807  5 Si 2.79-2.88, 2 Sb 2.88, 2 Ag 2.93
Sb: 0.5000 0.0000 0.4710  2 Si 2.86, 2 Ag 2.88, 2 Sb 2.93